{
  "formula": "Zr4Cl5",
  "functional": "PBE-GGA",
  "state": "relaxed",
  "rho_g_cm3": 5.01,
  "raw_formation_energy_ev_per_atom": -0.493,
  "n_ef_per_ev_cell": 18.88,
  "cell": [[8.107, 0.000, 0.000], [-4.053, 7.021, 0.000], [0.000, 0.000, 6.316]],
  "species": ["Cl", "Cl", "Cl", "Cl", "Cl", "Cl", "Cl", "Cl", "Cl", "Cl", "Zr", "Zr", "Zr", "Zr", "Zr", "Zr", "Zr", "Zr"],
  "fractional_positions": [[0.308, 0.308, 0.250], [0.000, 0.692, 0.250], [0.667, 0.333, 0.500], [0.308, 0.000, 0.750], [0.000, 0.308, 0.750], [0.692, 0.000, 0.250], [0.692, 0.692, 0.750], [0.333, 0.667, 0.500], [0.667, 0.333, 0.000], [0.333, 0.667, 0.000], [0.000, 0.332, 0.250], [0.668, 0.000, 0.750], [0.668, 0.668, 0.250], [0.332, 0.332, 0.750], [0.332, 0.000, 0.250], [0.000, 0.000, 0.500], [0.000, 0.668, 0.750], [0.000, 0.000, 0.000]]
}